The following is a PBE calculation of a geometry-optimized Rb3EuCl6 structure, from Alexandria.

abc: 8.2233 8.2233 8.2233
angles: 60.00 60.00 60.00
Closest atoms and distances in Å follow each position.
Fractional coordinates of all 10 atoms:
Rb 0.7500 0.7500 0.7500  12 Cl 4.12
Rb 0.2500 0.2500 0.2500  12 Cl 4.12
Rb 0.5000 0.5000 0.5000  6 Cl 3.11
Eu 0.0000 0.0000 0.0000  6 Cl 2.71
Cl 0.7674 0.2326 0.2326  1 Eu 2.71
Cl 0.2326 0.2326 0.7674  1 Eu 2.71
Cl 0.2326 0.7674 0.7674  1 Eu 2.71
Cl 0.2326 0.7674 0.2326  1 Eu 2.71
Cl 0.7674 0.2326 0.7674  1 Eu 2.71
Cl 0.7674 0.7674 0.2326  1 Eu 2.71

Calculated values
- Crystal system: cubic
- SG: Fm-3m
- Raw formation energy: -1.8876 eV per atom
- Total energy: -43.1 eV for the cell shown
- Calculated density: 2.62 g cm⁻³